Below is a relaxed structure of CeDy6Tm8, with properties calculated at the PBE level.

## Properties
ΔE_f ... 13 kJ per mole of atoms
Relative energy among the computed polymorphs ... 0.00 kJ per mole of atoms
Raw total energy ... -0.165 Ha/atom
V ... 31.16 Å³/atom

The structure in CIF format:
```
data_CeDy6Tm8
_symmetry_space_group_name_H-M 'R -3'
_symmetry_Int_Tables_number 148
_symmetry_space_group_name_Hall '-R 3'
_cell_length_a 8.9175
_cell_length_b 8.9175
_cell_length_c 20.3574
_cell_angle_alpha 90.00
_cell_angle_beta 90.00
_cell_angle_gamma 120.00
loop_
_atom_site_label
_atom_site_type_symbol
_atom_site_fract_x
_atom_site_fract_y
_atom_site_fract_z
Ce1 Ce 0.0000 0.0000 0.0000
Dy1 Dy 0.0657 0.8171 0.7087
Tm1 Tm 0.0000 0.0000 0.4231
Tm2 Tm 0.0814 0.5251 0.8071
```